# LaS2NO GGA-PBE optimized geometry
data_LaS2NO
_chemical_formula_sum 'La1 S2 N1 O1'
_cell_length_a 5.842
_cell_length_b 5.842
_cell_length_c 4.356
_cell_angle_alpha 90.00
_cell_angle_beta 90.00
_cell_angle_gamma 90.00
_symmetry_space_group_name_H-M 'P 4/m m m'
_symmetry_Int_Tables_number 123
_symmetry_space_group_name_Hall '-P 4 2'
loop_
_atom_site_label
_atom_site_fract_x
_atom_site_fract_y
_atom_site_fract_z
La1 0.000 0.000 0.000
S1 0.000 0.500 0.000
N1 0.000 0.000 0.500
O1 0.500 0.500 0.500
# - DOS at the Fermi energy: 5.48 states/eV/cell
# - Polymorph energy (0 for the lowest one): 0.8918 eV per atom
# - Energy: -4.366 eV/atom
# - Energy relative to the elements, uncorrected: 0.93 eV/atom